VASP calculation (GGA-PBE) on an optimized crystal structure of PaCrH4.

```
PaCrH4
1.0
3.576 0.000 -1.110
0.000 4.521 0.000
0.069 0.000 6.264
Pa Cr H
2 2 8
Direct
0.362 0.750 0.733
0.638 0.250 0.267
0.108 0.750 0.206
0.892 0.250 0.794
0.205 0.486 0.406
0.795 0.514 0.594
0.205 0.014 0.406
0.795 0.986 0.594
0.589 0.750 0.171
0.411 0.250 0.829
0.000 0.500 0.000
0.000 0.000 0.000
```

The calculation puts the density of states at the Fermi level at 2.99 states/eV/f.u. Its total moment is 0.00 μB per cell. The total energy comes out at -5.640 eV/atom. The value obtained for the volume is 8.47 Å³/atom. Its excess energy over the best structure of this formula in the dataset is 0.00 eV/f.u.